Record 1
The following is a DFT calculation (PBE-GGA) of an optimized crystal structure of Tb5Sb2H2.

Lattice parameters (Å, degrees): 6.763 6.763 6.509 105.24 105.24 46.71
Atoms (fractional coordinates):
Tb  0.000  0.000  0.000
Tb  0.147  0.147  0.553
Tb  0.331  0.331  0.124
Tb  0.669  0.669  0.876
Tb  0.853  0.853  0.447
Sb  0.406  0.406  0.691
Sb  0.594  0.594  0.309
H  0.160  0.160  0.894
H  0.840  0.840  0.106

Values from the calculation:
DOS at the Fermi energy, states/eV/cell: 5.27
VASP energy, eV/atom: -4.77


Record 2
The following is a DFT calculation (PBE-GGA) of an optimized crystal structure of Pr7NdPd2.

Lattice parameters (Å, degrees): 8.738 8.738 5.496 90.00 90.00 116.52
Atoms (fractional coordinates):
Pr  0.000  0.000  0.000
Pr  0.186  0.443  0.000
Pr  0.218  0.782  0.500
Pr  0.443  0.186  0.000
Pr  0.557  0.814  0.000
Pr  0.782  0.218  0.500
Pr  0.814  0.557  0.000
Nd  0.500  0.500  0.500
Pd  0.198  0.802  0.000
Pd  0.802  0.198  0.000

Values from the calculation:
DOS at the Fermi energy, states/eV/cell: 15.44
VASP energy, eV/atom: -4.87


Record 3
The following is a DFT calculation (PBE-GGA) of an optimized crystal structure of Ga4TcNi.

Lattice parameters (Å, degrees): 5.110 5.110 4.261 90.00 90.00 114.73
Atoms (fractional coordinates):
Ga  0.000  0.500  0.500
Ga  0.243  0.243  0.000
Ga  0.500  0.000  0.500
Ga  0.757  0.757  0.000
Tc  0.500  0.500  0.500
Ni  0.000  0.000  0.500

Values from the calculation:
DOS at the Fermi energy, states/eV/cell: 2.45
VASP energy, eV/atom: -4.97


Record 4
The following is a DFT calculation (PBE-GGA) of an optimized crystal structure of Ca6ScS8.

Lattice parameters (Å, degrees): 8.013 8.013 8.013 60.00 60.00 60.00
Atoms (fractional coordinates):
Ca  0.000  0.000  0.500
Ca  0.000  0.500  0.000
Ca  0.000  0.500  0.500
Ca  0.500  0.000  0.000
Ca  0.500  0.000  0.500
Ca  0.500  0.500  0.000
Sc  0.000  0.000  0.000
S  0.231  0.231  0.769
S  0.231  0.769  0.231
S  0.231  0.769  0.769
S  0.250  0.250  0.250
S  0.750  0.750  0.750
S  0.769  0.231  0.231
S  0.769  0.231  0.769
S  0.769  0.769  0.231

Values from the calculation:
Raw formation energy, meV/atom: -1966
DOS at the Fermi energy, states/eV/cell: 8.20
VASP energy, eV/atom: -5.39


Record 5
The following is a DFT calculation (PBE-GGA) of an optimized crystal structure of HfRuC3.

Lattice parameters (Å, degrees): 3.919 3.919 3.919 90.00 90.00 90.00
Atoms (fractional coordinates):
Hf  0.000  0.000  0.000
Ru  0.500  0.500  0.500
C  0.000  0.500  0.500
C  0.500  0.000  0.500
C  0.500  0.500  0.000

Values from the calculation:
DOS at the Fermi energy, states/eV/cell: 3.57
VASP energy, eV/atom: -7.87
Energy relative to the lowest polymorph listed for this composition, eV/atom: 0.000


Record 6
The following is a DFT calculation (PBE-GGA) of an optimized crystal structure of ThPaCu2.

Lattice parameters (Å, degrees): 3.571 3.571 6.721 90.00 90.00 90.00
Atoms (fractional coordinates):
Th  0.000  0.000  0.000
Pa  0.000  0.000  0.500
Cu  0.500  0.500  0.279
Cu  0.500  0.500  0.721

Values from the calculation:
DOS at the Fermi energy, states/eV/cell: 5.99
VASP energy, eV/atom: -6.19
Energy relative to the lowest polymorph listed for this composition, eV/atom: 0.000


Record 7
The following is a DFT calculation (PBE-GGA) of an optimized crystal structure of Hf2ScZnH.

Lattice parameters (Å, degrees): 4.341 4.341 4.383 90.00 90.00 90.00
Atoms (fractional coordinates):
Hf  0.000  0.500  0.000
Hf  0.500  0.000  0.000
Sc  0.000  0.000  0.500
Zn  0.500  0.500  0.500
H  0.000  0.000  0.000

Values from the calculation:
DOS at the Fermi energy, states/eV/cell: 5.45
VASP energy, eV/atom: -6.35


Record 8
The following is a DFT calculation (PBE-GGA) of an optimized crystal structure of RbPuAlSe4.

Lattice parameters (Å, degrees): 6.815 6.797 9.585 90.00 108.68 90.00
Atoms (fractional coordinates):
Rb  0.245  0.250  0.446
Rb  0.755  0.750  0.554
Pu  0.271  0.250  0.947
Pu  0.729  0.750  0.053
Al  0.268  0.750  0.164
Al  0.732  0.250  0.836
Se  0.046  0.750  0.915
Se  0.069  0.750  0.325
Se  0.483  0.512  0.798
Se  0.483  0.988  0.798
Se  0.517  0.012  0.202
Se  0.517  0.488  0.202
Se  0.931  0.250  0.675
Se  0.954  0.250  0.085

Values from the calculation:
Raw formation energy, meV/atom: -1127
DOS at the Fermi energy, states/eV/cell: 20.78
VASP energy, eV/atom: -5.84


Record 9
The following is a DFT calculation (PBE-GGA) of an optimized crystal structure of SiPbF5.

Lattice parameters (Å, degrees): 9.323 9.323 5.077 91.72 91.72 31.19
Atoms (fractional coordinates):
Si  0.000  0.500  0.000
Si  0.500  0.000  0.500
Pb  0.199  0.801  0.750
Pb  0.801  0.199  0.250
F  0.181  0.490  0.009
F  0.225  0.229  0.745
F  0.229  0.225  0.245
F  0.340  0.660  0.250
F  0.490  0.181  0.509
F  0.510  0.819  0.491
F  0.660  0.340  0.750
F  0.771  0.775  0.755
F  0.775  0.771  0.255
F  0.819  0.510  0.991

Values from the calculation:
Raw formation energy, meV/atom: -2418
DOS at the Fermi energy, states/eV/cell: 2.56
VASP energy, eV/atom: -5.06


Record 10
The following is a DFT calculation (PBE-GGA) of an optimized crystal structure of K3ScSe.

Lattice parameters (Å, degrees): 6.323 6.323 6.323 90.00 90.00 90.00
Atoms (fractional coordinates):
K  0.000  0.000  0.500
K  0.000  0.500  0.000
K  0.500  0.000  0.000
Sc  0.500  0.500  0.500
Se  0.000  0.000  0.000

Values from the calculation:
Raw formation energy, meV/atom: -13
DOS at the Fermi energy, states/eV/cell: 3.28
VASP energy, eV/atom: -2.63
Energy relative to the lowest polymorph listed for this composition, eV/atom: 0.000


Record 11
The following is a DFT calculation (PBE-GGA) of an optimized crystal structure of TbTmNiRu.

Lattice parameters (Å, degrees): 3.385 3.385 6.722 90.00 90.00 90.00
Atoms (fractional coordinates):
Tb  0.000  0.000  0.000
Tm  0.000  0.000  0.497
Ni  0.500  0.500  0.742
Ru  0.500  0.500  0.254

Values from the calculation:
DOS at the Fermi energy, states/eV/cell: 1.84
VASP energy, eV/atom: -6.48
Energy relative to the lowest polymorph listed for this composition, eV/atom: 0.000


Record 12
The following is a DFT calculation (PBE-GGA) of an optimized crystal structure of Zn3Ag.

Lattice parameters (Å, degrees): 5.247 5.247 5.247 117.06 117.06 117.06
Atoms (fractional coordinates):
Zn  0.000  0.500  0.500
Zn  0.500  0.000  0.500
Zn  0.500  0.500  0.000
Ag  0.000  0.000  0.000

Values from the calculation:
DOS at the Fermi energy, states/eV/cell: 0.56
VASP energy, eV/atom: -1.65


Record 13
The following is a DFT calculation (PBE-GGA) of an optimized crystal structure of Rb2Ba4Ni.

Lattice parameters (Å, degrees): 12.621 12.621 12.621 151.08 151.08 41.36
Atoms (fractional coordinates):
Rb  0.173  0.173  0.000
Rb  0.827  0.827  0.000
Ba  0.000  0.500  0.500
Ba  0.373  0.373  0.000
Ba  0.500  0.000  0.500
Ba  0.627  0.627  0.000
Ni  0.500  0.500  0.000

Values from the calculation:
DOS at the Fermi energy, states/eV/cell: 8.26
VASP energy, eV/atom: -2.09


Record 14
The following is a DFT calculation (PBE-GGA) of an optimized crystal structure of YHg2Pd2.

Lattice parameters (Å, degrees): 7.250 7.250 7.250 147.53 147.53 46.58
Atoms (fractional coordinates):
Y  0.000  0.000  0.000
Hg  0.250  0.750  0.500
Hg  0.750  0.250  0.500
Pd  0.402  0.402  0.000
Pd  0.598  0.598  0.000

Values from the calculation:
DOS at the Fermi energy, states/eV/cell: 3.18
VASP energy, eV/atom: -3.88
Energy relative to the lowest polymorph listed for this composition, eV/atom: 0.085


Record 15
The following is a DFT calculation (PBE-GGA) of an optimized crystal structure of Ho2ScTl.

Lattice parameters (Å, degrees): 3.600 3.600 8.566 90.00 90.00 90.00
Atoms (fractional coordinates):
Ho  0.000  0.000  0.243
Ho  0.000  0.000  0.757
Sc  0.500  0.500  0.500
Tl  0.500  0.500  0.000

Values from the calculation:
DOS at the Fermi energy, states/eV/cell: 4.30
VASP energy, eV/atom: -4.62
Energy relative to the lowest polymorph listed for this composition, eV/atom: 0.014


Record 16
The following is a DFT calculation (PBE-GGA) of an optimized crystal structure of LaZrIn.

Lattice parameters (Å, degrees): 3.437 3.437 8.146 90.00 90.00 120.00
Atoms (fractional coordinates):
La  0.000  0.000  0.000
Zr  0.667  0.333  0.337
In  0.333  0.667  0.640

Values from the calculation:
DOS at the Fermi energy, states/eV/cell: 3.27
VASP energy, eV/atom: -5.42
Energy relative to the lowest polymorph listed for this composition, eV/atom: 0.119


Record 17
The following is a DFT calculation (PBE-GGA) of an optimized crystal structure of BaCa3Pt.

Lattice parameters (Å, degrees): 9.074 9.074 9.074 50.86 50.86 50.86
Atoms (fractional coordinates):
Ba  0.000  0.000  0.000
Ca  0.019  0.019  0.518
Ca  0.019  0.518  0.019
Ca  0.518  0.019  0.019
Pt  0.122  0.122  0.122

Values from the calculation:
DOS at the Fermi energy, states/eV/cell: 3.98
VASP energy, eV/atom: -2.50
Energy relative to the lowest polymorph listed for this composition, eV/atom: 0.759


Record 18
The following is a DFT calculation (PBE-GGA) of an optimized crystal structure of NdDy2AgHg4.

Lattice parameters (Å, degrees): 9.455 9.455 9.455 31.21 31.21 31.21
Atoms (fractional coordinates):
Nd  0.000  0.000  0.000
Dy  0.239  0.239  0.239
Dy  0.761  0.761  0.761
Ag  0.500  0.500  0.500
Hg  0.125  0.125  0.125
Hg  0.380  0.380  0.380
Hg  0.620  0.620  0.620
Hg  0.875  0.875  0.875

Values from the calculation:
DOS at the Fermi energy, states/eV/cell: 6.33
VASP energy, eV/atom: -2.63


Record 19
The following is a DFT calculation (PBE-GGA) of an optimized crystal structure of CsScMn2Br8.

Lattice parameters (Å, degrees): 11.872 11.872 11.872 33.01 33.01 33.01
Atoms (fractional coordinates):
Cs  0.000  0.000  0.000
Sc  0.500  0.500  0.500
Mn  0.240  0.240  0.240
Mn  0.760  0.760  0.760
Br  0.149  0.431  0.763
Br  0.237  0.569  0.851
Br  0.312  0.312  0.312
Br  0.431  0.763  0.149
Br  0.569  0.851  0.237
Br  0.688  0.688  0.688
Br  0.763  0.149  0.431
Br  0.851  0.237  0.569

Values from the calculation:
Raw formation energy, meV/atom: -1197
DOS at the Fermi energy, states/eV/cell: 0.00
VASP energy, eV/atom: -4.44


Record 20
The following is a DFT calculation (PBE-GGA) of an optimized crystal structure of YHo2Pu3S6.

Lattice parameters (Å, degrees): 8.781 8.781 7.848 102.70 102.70 25.79
Atoms (fractional coordinates):
Y  0.000  0.000  0.000
Ho  0.333  0.333  0.664
Ho  0.667  0.667  0.336
Pu  0.000  0.000  0.500
Pu  0.334  0.334  0.166
Pu  0.666  0.666  0.834
S  0.167  0.167  0.087
S  0.168  0.168  0.581
S  0.498  0.498  0.751
S  0.502  0.502  0.249
S  0.832  0.832  0.419
S  0.833  0.833  0.913

Values from the calculation:
Raw formation energy, meV/atom: -1905
DOS at the Fermi energy, states/eV/cell: 23.12
VASP energy, eV/atom: -8.85


Record 21
The following is a DFT calculation (PBE-GGA) of an optimized crystal structure of Na2DySbS4.

Lattice parameters (Å, degrees): 6.947 3.985 7.070 90.00 108.91 90.00
Atoms (fractional coordinates):
Na  0.000  0.000  0.000
Na  0.500  0.500  0.000
Dy  0.000  0.500  0.500
Sb  0.500  0.000  0.500
S  0.241  0.000  0.726
S  0.255  0.500  0.271
S  0.745  0.500  0.729
S  0.759  0.000  0.274

Values from the calculation:
Raw formation energy, meV/atom: -1251
DOS at the Fermi energy, states/eV/cell: 0.00
VASP energy, eV/atom: -4.74


Record 22
The following is a DFT calculation (PBE-GGA) of an optimized crystal structure of Sr4YZr.

Lattice parameters (Å, degrees): 7.112 7.112 7.112 60.00 60.00 60.00
Atoms (fractional coordinates):
Sr  0.376  0.376  0.376
Sr  0.376  0.376  0.873
Sr  0.376  0.873  0.376
Sr  0.873  0.376  0.376
Y  0.000  0.000  0.000
Zr  0.750  0.750  0.750

Values from the calculation:
DOS at the Fermi energy, states/eV/cell: 8.39
VASP energy, eV/atom: -2.90


Record 23
The following is a DFT calculation (PBE-GGA) of an optimized crystal structure of Ba2ScSe.

Lattice parameters (Å, degrees): 4.348 4.348 10.561 101.82 101.82 59.96
Atoms (fractional coordinates):
Ba  0.233  0.233  0.200
Ba  0.767  0.767  0.800
Sc  0.000  0.000  0.500
Se  0.500  0.500  0.000

Values from the calculation:
Raw formation energy, meV/atom: -570
DOS at the Fermi energy, states/eV/cell: 4.48
VASP energy, eV/atom: -3.99


Record 24
The following is a DFT calculation (PBE-GGA) of an optimized crystal structure of LaMg2Sc.

Lattice parameters (Å, degrees): 6.335 6.335 6.335 146.49 128.80 62.58
Atoms (fractional coordinates):
La  0.000  0.000  0.000
Mg  0.269  0.769  0.500
Mg  0.489  0.489  0.000
Sc  0.735  0.235  0.500

Values from the calculation:
DOS at the Fermi energy, states/eV/cell: 4.23
VASP energy, eV/atom: -3.59


Record 25
The following is a DFT calculation (PBE-GGA) of an optimized crystal structure of Ce4GeRu.

Lattice parameters (Å, degrees): 5.069 6.669 8.409 90.00 94.02 90.00
Atoms (fractional coordinates):
Ce  0.215  0.250  0.041
Ce  0.229  0.750  0.375
Ce  0.274  0.542  0.729
Ce  0.274  0.958  0.729
Ce  0.726  0.042  0.271
Ce  0.726  0.458  0.271
Ce  0.771  0.250  0.625
Ce  0.785  0.750  0.959
Ge  0.245  0.250  0.418
Ge  0.755  0.750  0.582
Ru  0.251  0.750  0.077
Ru  0.749  0.250  0.923

Values from the calculation:
DOS at the Fermi energy, states/eV/cell: 27.82
VASP energy, eV/atom: -6.66
Energy relative to the lowest polymorph listed for this composition, eV/atom: 0.026